Compound: AlCoS
Source: Alexandria
Functional: PBE
Structure: optimized geometry

Geometry as POSCAR:
```
AlCoS
1.0
2.5290 -3.3261 0.0000
2.5290 3.3261 0.0000
-1.3175 0.0000 5.3400
Al Co S
2 2 2
Direct
0.1718 0.1718 0.2309
0.8282 0.8282 0.7691
0.3124 0.6876 0.0000
0.6876 0.3124 0.0000
0.2870 0.2870 0.6884
0.7130 0.7130 0.3116
```

Output
As for the space group: C2/m, No. 12. As for the total magnetic moment: 0.31 μB per formula unit. For the energy relative to the elements, uncorrected, the calculation gives -27 kJ per mole of atoms.

***

Compound: AlCo2S4
Source: Alexandria
Functional: PBE
Structure: optimized geometry

Geometry as POSCAR:
```
AlCo2S4
1.0
-3.0833 3.0833 5.8649
3.0833 -3.0833 5.8649
3.0833 3.0833 -5.8649
Al Co S
2 4 8
Direct
0.3750 0.1250 0.2500
0.6250 0.8750 0.7500
0.0000 0.0000 0.5000
0.0000 0.5000 0.0000
0.0000 0.5000 0.5000
0.5000 0.5000 0.0000
0.0055 0.2804 0.1157
0.2196 0.8353 0.7252
0.3353 0.1101 0.6157
0.3899 0.5055 0.2252
0.6101 0.4945 0.7748
0.6647 0.8899 0.3843
0.7804 0.1647 0.2748
0.9945 0.7196 0.8843
```

Output
As for the space group: I4_1/a, No. 88. As for the total magnetic moment: 3.03 μB per formula unit. For the energy relative to the elements, uncorrected, the calculation gives -30 kJ per mole of atoms. The calculation puts the energy above the most stable polymorph in this dataset at 1.66 eV/f.u.

***

Compound: AlCo2S2
Source: Alexandria
Functional: PBE
Structure: optimized geometry

Geometry as POSCAR:
```
AlCo2S2
1.0
6.5903 0.0000 0.0000
0.0000 6.5903 0.0000
0.0000 0.0000 3.0921
Al Co S
2 4 4
Direct
0.0000 0.0000 0.0000
0.5000 0.5000 0.0000
0.1787 0.3213 0.5000
0.3213 0.8213 0.5000
0.6787 0.1787 0.5000
0.8213 0.6787 0.5000
0.1557 0.6557 0.0000
0.3443 0.1557 0.0000
0.6557 0.8443 0.0000
0.8443 0.3443 0.0000
```

Output
As for the space group: P4/mbm, No. 127. As for the total magnetic moment: 0.69 μB per formula unit. For the energy relative to the elements, uncorrected, the calculation gives 11 kJ per mole of atoms. The calculation puts the energy above the most stable polymorph in this dataset at 1.24 eV/f.u.

***

Compound: AlCo2S4
Source: Alexandria
Functional: PBE
Structure: optimized geometry

Geometry as POSCAR:
```
AlCo2S4
1.0
0.0000 4.8036 4.8036
4.8036 0.0000 4.8036
4.8036 4.8036 0.0000
Al Co S
2 4 8
Direct
0.1250 0.1250 0.1250
0.8750 0.8750 0.8750
0.0000 0.5000 0.5000
0.5000 0.0000 0.5000
0.5000 0.5000 0.0000
0.5000 0.5000 0.5000
0.2634 0.2634 0.2634
0.2634 0.2634 0.7098
0.2634 0.7098 0.2634
0.2902 0.7366 0.7366
0.7098 0.2634 0.2634
0.7366 0.2902 0.7366
0.7366 0.7366 0.2902
0.7366 0.7366 0.7366
```

Output
As for the space group: Fd-3m, No. 227. As for the total magnetic moment: 0.00 μB per formula unit. For the energy relative to the elements, uncorrected, the calculation gives -53 kJ per mole of atoms. The calculation puts the energy above the most stable polymorph in this dataset at 0.00 eV/f.u.

***

Compound: AlCo2S2
Source: Alexandria
Functional: PBE
Structure: optimized geometry

Geometry as POSCAR:
```
AlCo2S2
1.0
-1.8252 1.8252 5.9927
1.8252 -1.8252 5.9927
1.8252 1.8252 -5.9927
Al Co S
1 2 2
Direct
0.0000 0.0000 0.0000
0.2500 0.7500 0.5000
0.7500 0.2500 0.5000
0.3532 0.3532 0.0000
0.6468 0.6468 0.0000
```

Output
As for the space group: I4/mmm, No. 139. As for the total magnetic moment: 1.63 μB per formula unit. For the energy relative to the elements, uncorrected, the calculation gives -13 kJ per mole of atoms. The calculation puts the energy above the most stable polymorph in this dataset at 0.00 eV/f.u.

***

Compound: AlVCoS2
Source: Alexandria
Functional: PBE
Structure: optimized geometry

Geometry as POSCAR:
```
AlVCoS2
1.0
4.3551 0.0000 0.0000
0.0000 4.3551 0.0000
0.0000 0.0000 4.3961
Al V Co S
1 1 1 2
Direct
0.0000 0.0000 0.0000
0.5000 0.5000 0.0000
0.5000 0.5000 0.5000
0.0000 0.5000 0.5000
0.5000 0.0000 0.5000
```

Output
As for the space group: P4/mmm, No. 123. As for the total magnetic moment: 0.01 μB per formula unit. For the energy relative to the elements, uncorrected, the calculation gives 49 kJ per mole of atoms.

***

Compound: Y3AlCoS7
Source: Alexandria
Functional: PBE
Structure: optimized geometry

Geometry as POSCAR:
```
Y3AlCoS7
1.0
9.5405 0.0000 0.0000
-4.7702 8.2623 0.0000
0.0000 0.0000 6.1657
Y Al Co S
6 2 2 14
Direct
0.1556 0.3746 0.0000
0.2190 0.8444 0.0000
0.3746 0.2190 0.5000
0.6254 0.7810 0.0000
0.7810 0.1556 0.5000
0.8444 0.6254 0.5000
0.3333 0.6667 0.4255
0.6667 0.3333 0.9255
0.0000 0.0000 0.3430
0.0000 0.0000 0.8430
0.0882 0.5678 0.2728
0.0961 0.2223 0.5977
0.1262 0.9039 0.5977
0.2223 0.1262 0.0977
0.3333 0.6667 0.7882
0.4322 0.5204 0.2728
0.4796 0.9118 0.2728
0.5204 0.0882 0.7728
0.5678 0.4796 0.7728
0.6667 0.3333 0.2882
0.7777 0.8738 0.5977
0.8738 0.0961 0.0977
0.9039 0.7777 0.0977
0.9118 0.4322 0.7728
```

Output
As for the space group: P6_3, No. 173. As for the total magnetic moment: 0.98 μB per formula unit. For the energy relative to the elements, uncorrected, the calculation gives -149 kJ per mole of atoms.

***

Compound: AlCoSb2
Source: Alexandria
Functional: PBE
Structure: optimized geometry

Geometry as POSCAR:
```
AlCoSb2
1.0
-1.5578 2.1275 6.0436
1.5578 -2.1275 6.0436
1.5578 2.1275 -6.0436
Al Co Sb
1 1 2
Direct
0.0000 0.0000 0.0000
0.8142 0.3142 0.5000
0.3414 0.8414 0.5000
0.6332 0.6332 0.0000
```

Output
As for the space group: Imm2, No. 44. As for the total magnetic moment: 0.00 μB per formula unit. For the energy relative to the elements, uncorrected, the calculation gives 15 kJ per mole of atoms.

***

Compound: AlCoSb2
Source: Alexandria
Functional: PBE
Structure: optimized geometry

Geometry as POSCAR:
```
AlCoSb2
1.0
0.0000 3.4381 3.4381
3.4381 0.0000 3.4381
3.4381 3.4381 0.0000
Al Co Sb
1 1 2
Direct
0.0000 0.0000 0.0000
0.7500 0.7500 0.7500
0.2500 0.2500 0.2500
0.5000 0.5000 0.5000
```

Output
As for the space group: F-43m, No. 216. As for the total magnetic moment: 1.14 μB per formula unit. For the energy relative to the elements, uncorrected, the calculation gives 52 kJ per mole of atoms.

***

Compound: AlCo2Sb
Source: Alexandria
Functional: PBE
Structure: optimized geometry

Geometry as POSCAR:
```
AlCo2Sb
1.0
4.1156 0.0000 0.0000
0.0000 4.1156 0.0000
0.0000 0.0000 3.2381
Al Co Sb
1 2 1
Direct
0.0000 0.0000 0.0000
0.0000 0.5000 0.5000
0.5000 0.0000 0.5000
0.5000 0.5000 0.0000
```

Output
As for the space group: P4/mmm, No. 123. As for the total magnetic moment: 1.11 μB per formula unit. For the energy relative to the elements, uncorrected, the calculation gives -9 kJ per mole of atoms. The calculation puts the energy above the most stable polymorph in this dataset at 0.07 eV/f.u.

***

Compound: AlCo2Sb
Source: Alexandria
Functional: PBE
Structure: optimized geometry

Geometry as POSCAR:
```
AlCo2Sb
1.0
-1.8112 1.8112 4.2040
1.8112 -1.8112 4.2040
1.8112 1.8112 -4.2040
Al Co Sb
1 2 1
Direct
0.0000 0.0000 0.0000
0.2500 0.7500 0.5000
0.5000 0.5000 0.0000
0.7500 0.2500 0.5000
```

Output
As for the space group: I-4m2, No. 119. As for the total magnetic moment: 0.00 μB per formula unit. For the energy relative to the elements, uncorrected, the calculation gives -3 kJ per mole of atoms. The calculation puts the energy above the most stable polymorph in this dataset at 0.31 eV/f.u.

***

Compound: AlCoSb
Source: Alexandria
Functional: PBE
Structure: optimized geometry

Geometry as POSCAR:
```
AlCoSb
1.0
4.0906 0.0000 0.0000
-2.0453 3.5426 0.0000
0.0000 0.0000 3.6310
Al Co Sb
1 1 1
Direct
0.0000 0.0000 0.0000
0.3333 0.6667 0.9985
0.6667 0.3333 0.5002
```

Output
As for the space group: P3m1, No. 156. As for the total magnetic moment: 0.27 μB per formula unit. For the energy relative to the elements, uncorrected, the calculation gives 18 kJ per mole of atoms.

***

Compound: AlCoSb2
Source: Alexandria
Functional: PBE
Structure: optimized geometry

Geometry as POSCAR:
```
AlCoSb2
1.0
3.1139 0.0000 0.0000
0.0000 3.2809 0.0000
0.0000 0.0000 7.9254
Al Co Sb
1 1 2
Direct
0.0000 0.0000 0.0000
0.5000 0.5000 0.8634
0.0000 0.0000 0.6508
0.5000 0.5000 0.2369
```

Output
As for the space group: Pmm2, No. 25. As for the total magnetic moment: 0.00 μB per formula unit. For the energy relative to the elements, uncorrected, the calculation gives 0 kJ per mole of atoms.